Record 1
A plane-wave DFT calculation with PBE was carried out for an optimized crystal structure of SbRuSeBr2.

Offset from the most stable computed form = 0.0000 eV/atom
Formation energy (no corrections) = 321 meV/atom

```
data_SbRuSeBr2
_chemical_formula_sum 'Sb1 Ru1 Se1 Br2'
_cell_length_a 5.034
_cell_length_b 5.034
_cell_length_c 4.865
_cell_angle_alpha 90.00
_cell_angle_beta 90.00
_cell_angle_gamma 90.00
_symmetry_space_group_name_H-M 'P 4/m m m'
_symmetry_Int_Tables_number 123
_symmetry_space_group_name_Hall '-P 4 2'
loop_
_atom_site_label
_atom_site_fract_x
_atom_site_fract_y
_atom_site_fract_z
Sb1 0.000 0.000 0.000
Ru1 0.500 0.500 0.500
Se1 0.500 0.500 0.000
Br1 0.000 0.500 0.500
```

Record 2
A plane-wave DFT calculation with PBE was carried out for an optimized crystal structure of SrSbRuBr2.

Formation energy (no corrections) = 497 meV/atom

```
data_SrSbRuBr2
_chemical_formula_sum 'Sr1 Sb1 Ru1 Br2'
_cell_length_a 5.612
_cell_length_b 5.612
_cell_length_c 6.814
_cell_angle_alpha 90.00
_cell_angle_beta 90.00
_cell_angle_gamma 90.00
_symmetry_space_group_name_H-M 'P 4/m m m'
_symmetry_Int_Tables_number 123
_symmetry_space_group_name_Hall '-P 4 2'
loop_
_atom_site_label
_atom_site_fract_x
_atom_site_fract_y
_atom_site_fract_z
Sr1 0.000 0.000 0.000
Sb1 0.000 0.000 0.500
Ru1 0.500 0.500 0.500
Br1 0.000 0.500 0.000
```